A plane-wave DFT calculation with PBE was carried out for a relaxed YZrSc3 crystal.

Computed properties:
**Relative energy among the computed polymorphs**: 974 meV per atom
**ρ**: 3.878 g/cm³
**Electronic total energy**: -5.761 eV per atom
**M_tot**: 0.0 μB/f.u.
**E_form**: 1.041 eV/atom

a = 5.1284 Å, b = 5.1284 Å, c = 5.1284 Å
α = 90.00°, β = 90.00°, γ = 90.00°
Fractional positions:
1 Y 0.0000 0.0000 0.0000
2 Sc 0.0000 0.5000 0.0000
3 Sc 0.0000 0.0000 0.5000
4 Sc 0.5000 0.0000 0.0000
5 Zr 0.5000 0.5000 0.5000